# 1
{
  "formula": "Tb8Pm6Tl",
  "functional": "PBE",
  "state": "optimized geometry",
  "m_tot_mub_per_cell": 0.0,
  "e_form_ev_per_fu": 1.2,
  "e_tot_ev_per_atom": -4.45,
  "spacegroup": "P-3, No. 147",
  "lattice": [[6.433, 0.000, 0.000], [0.000, 8.184, -4.725], [0.000, 0.000, 9.450]],
  "species": ["Tb", "Tb", "Tb", "Tb", "Tb", "Tb", "Tb", "Tb", "Pm", "Pm", "Pm", "Pm", "Pm", "Pm", "Tl"],
  "fractional_positions": [[0.814, 0.039, 0.264], [0.814, 0.736, 0.775], [0.814, 0.225, 0.961], [0.186, 0.961, 0.736], [0.186, 0.264, 0.225], [0.186, 0.775, 0.039], [0.837, 0.333, 0.667], [0.163, 0.667, 0.333], [0.680, 0.641, 0.092], [0.680, 0.908, 0.549], [0.680, 0.451, 0.359], [0.320, 0.359, 0.908], [0.320, 0.092, 0.451], [0.320, 0.549, 0.641], [0.500, 0.000, 0.000]]
}

=====

# 2
{
  "formula": "Tb8PmTl6",
  "functional": "PBE",
  "state": "optimized geometry",
  "m_tot_mub_per_cell": 0.0,
  "e_form_ev_per_fu": -2.1,
  "e_tot_ev_per_atom": -3.87,
  "spacegroup": "R-3, No. 148",
  "lattice": [[9.172, 0.000, 0.000], [4.586, 7.943, 0.000], [4.586, 2.648, 6.518]],
  "species": ["Tb", "Tb", "Tb", "Tb", "Tb", "Tb", "Tb", "Tb", "Pm", "Tl", "Tl", "Tl", "Tl", "Tl", "Tl"],
  "fractional_positions": [[0.559, 0.223, 0.329], [0.777, 0.110, 0.671], [0.110, 0.441, 0.671], [0.667, 0.667, 0.998], [0.333, 0.333, 0.002], [0.890, 0.559, 0.329], [0.223, 0.890, 0.329], [0.441, 0.777, 0.671], [0.000, 0.000, 0.000], [0.401, 0.063, 0.810], [0.937, 0.274, 0.190], [0.274, 0.599, 0.190], [0.726, 0.401, 0.810], [0.063, 0.726, 0.810], [0.599, 0.937, 0.190]]
}

=====

> Number 1 is which compound?

Tb8Pm6Tl